No. 1
Computed, not measured: an optimized crystal structure of SbP at the GGA-PBE level of DFT.

crystal system: triclinic
energy above the most stable polymorph in this dataset: 0.047 eV/atom
formation energy without anion corrections: 126 meV per atom
total moment: 0.00 μB/f.u.

Cell lengths 3.2324, 6.3705, 6.3854 Å; angles 60.19, 82.83, 75.43 degrees
Last column: nearest neighbours and their distance in Å.
Space group P1 (No. 1)
Symmetry-distinct sites (fractional):
1 Sb 0.0000 0.0000 0.0000 x1  1 P 2.67, 1 Sb 2.90
2 Sb 0.1971 0.5296 0.9994 x1  1 P 2.66, 1 Sb 2.90
3 P 0.2877 0.6123 0.5458 x1  2 P 2.20-2.21
4 P 0.9090 0.3689 0.5461 x1  2 P 2.20-2.21

No. 2
Computed, not measured: an optimized crystal structure of SbP at the GGA-PBE level of DFT.

crystal system: cubic
energy above the most stable polymorph in this dataset: 0.334 eV/atom
formation energy without anion corrections: 412 meV per atom
total moment: 0.00 μB/f.u.

Cell lengths 10.0868, 10.0868, 10.0868 Å; angles 90.00, 90.00, 90.00 degrees
Last column: nearest neighbours and their distance in Å.
Space group I-43m (No. 217)
Symmetry-distinct sites (fractional):
1 Sb 0.1254 0.1254 0.8746 x8  3 P 2.62
2 P 0.1340 0.1340 0.1340 x8  3 Sb 2.62

Q: formation energy without anion corrections of number 1 (SbP)?
A: 126 meV per atom

Q: Look up the formation energy without anion corrections of the first one.
A: 126 meV per atom

Q: Which value of energy above the most stable polymorph in this dataset does entry 2 give?
A: 0.334 eV/atom